1.
VASP calculation (PBE-GGA) on a relaxed Sb3S3Cl crystal.

a b c (Å): 8.5106 8.5106 8.6274
angles (deg): 60.45 60.45 60.00
Last column: nearest neighbours and their distance in Å.
Element x y z (fractional)
S 0.4464 0.7884 0.6473  2 Sb 2.49-2.61
S 0.8822 0.5536 0.3527  2 Sb 2.49-2.61
Sb 0.4883 0.0630 0.6996  2 S 2.49-2.61
Sb 0.0630 0.7491 0.6996  2 S 2.49-2.61
Cl 0.6812 0.6812 0.9565  3 Sb 3.05
Cl 0.3188 0.3188 0.0435  3 Sb 3.05
S 0.5536 0.2116 0.3527  2 Sb 2.49-2.61
Sb 0.7491 0.4883 0.6996  2 S 2.49-2.61
Sb 0.5117 0.9370 0.3004  2 S 2.49-2.61
Sb 0.2509 0.5117 0.3004  2 S 2.49-2.61
S 0.1178 0.4464 0.6473  2 Sb 2.49-2.61
Sb 0.9370 0.2509 0.3004  2 S 2.49-2.61
S 0.7884 0.1178 0.6473  2 Sb 2.49-2.61
S 0.2116 0.8822 0.3527  2 Sb 2.49-2.61

SG = R-3
Electronic total energy = -3.924 eV per atom

2.
VASP calculation (PBE-GGA) on a relaxed Sb3S4Cl crystal.

a b c (Å): 6.7414 9.2975 10.7614
angles (deg): 123.28 90.00 111.26
Last column: nearest neighbours and their distance in Å.
Element x y z (fractional)
S 0.3053 0.2481 0.9059  2 Sb 2.45-2.52
Cl 0.3604 0.0004 0.2710  1 Sb 2.60
Sb 0.8941 0.7763 0.8002  3 S 2.49-2.55
S 0.4980 0.6580 0.3215  2 Sb 2.48-2.49
Sb 0.2487 0.5809 0.5742  3 S 2.48-2.64
Cl 0.6401 0.0004 0.7710  1 Sb 2.60
S 0.9428 0.2481 0.4059  2 Sb 2.45-2.52
Sb 0.8823 0.7763 0.3002  3 S 2.49-2.55
S 0.8965 0.4540 0.1427  2 Sb 2.55-2.59
Sb 0.6847 0.3422 0.8824  2 S 2.45-2.59, 1 Cl 2.60
Sb 0.3322 0.5809 0.0742  3 S 2.48-2.64
S 0.9821 0.7198 0.5519  3 Sb 2.54-2.80
S 0.1600 0.6580 0.8215  2 Sb 2.48-2.49
Sb 0.6575 0.3422 0.3824  2 S 2.45-2.59, 1 Cl 2.60
S 0.5576 0.4540 0.6427  2 Sb 2.55-2.59
S 0.7377 0.7198 0.0519  3 Sb 2.54-2.80

SG = Cc
Electronic total energy = -4.174 eV per atom

3.
VASP calculation (PBE-GGA) on a relaxed SbSCl9 crystal.

a b c (Å): 8.0228 8.0228 14.0999
angles (deg): 74.83 74.83 59.92
Last column: nearest neighbours and their distance in Å.
Element x y z (fractional)
Cl 0.2973 0.7027 0.0000  1 Sb 2.38
Cl 0.9928 0.9928 0.1735  1 Sb 2.42
Cl 0.7045 0.2783 0.3818  1 Sb 2.41
S 0.1749 0.1749 0.2747  3 Cl 2.01
Cl 0.0450 0.4367 0.1909  1 S 2.01
Cl 0.2783 0.7045 0.3818  1 Sb 2.41
Cl 0.3173 0.3173 0.5647  1 Sb 2.43
Sb 0.0000 0.0000 0.0000  6 Cl 2.38-2.45
Cl 0.9550 0.5633 0.8091  1 S 2.01
Cl 0.6827 0.6827 0.4353  1 Sb 2.43
Cl 0.7636 0.7636 0.6130  1 S 2.01
Cl 0.7027 0.2973 0.0000  1 Sb 2.38
Cl 0.0072 0.0072 0.8265  1 Sb 2.42
Cl 0.8153 0.8153 0.0508  1 Sb 2.45
Cl 0.7217 0.2955 0.6182  1 Sb 2.41
Sb 0.5000 0.5000 0.5000  6 Cl 2.41-2.43
Cl 0.1847 0.1847 0.9492  1 Sb 2.45
Cl 0.4367 0.0450 0.1909  1 S 2.01
Cl 0.2364 0.2364 0.3870  1 S 2.01
S 0.8251 0.8251 0.7253  3 Cl 2.01
Cl 0.2955 0.7217 0.6182  1 Sb 2.41
Cl 0.5633 0.9550 0.8091  1 S 2.01

SG = C2/m
Electronic total energy = -2.729 eV per atom
Polymorph energy (0 for the lowest one) = 0.000 eV/f.u.

4.
VASP calculation (PBE-GGA) on a relaxed SbS4Cl crystal.

a b c (Å): 10.1249 10.1249 6.7220
angles (deg): 86.09 86.09 149.47
Last column: nearest neighbours and their distance in Å.
Element x y z (fractional)
S 0.1209 0.1836 0.9742  1 S 1.99
S 0.8791 0.8164 0.0258  1 S 1.99
S 0.9855 0.3148 0.8096  1 S 1.97
Sb 0.1308 0.8692 0.7500  4 S 2.66-2.93, 2 Cl 2.67
S 0.1836 0.1209 0.4742  1 S 1.99
S 0.3148 0.9855 0.3096  1 S 1.97
S 0.8164 0.8791 0.5258  1 S 1.99
S 0.6852 0.0145 0.6904  1 S 1.97
Sb 0.8692 0.1308 0.2500  4 S 2.66-2.93, 2 Cl 2.67
Cl 0.6351 0.3649 0.7500  2 Sb 2.67
S 0.0145 0.6852 0.1904  1 S 1.97
Cl 0.3649 0.6351 0.2500  2 Sb 2.67

SG = C2/c
Electronic total energy = -3.788 eV per atom

Sequential raw formation energy output: -0.125; -0.333; -0.468; -0.042 eV per atom